No. 1
PaAgBr6 | GGA-PBE | optimized geometry

ΔE to the lowest computed polymorph	9	kJ/mol of formula units
symmetry	R-3 (148)
electronic total energy	-31.6	eV for the cell shown
M_tot	0.000	μB per atom
formation energy (no corrections)	-1.15	eV/atom

abc: 7.102 7.103 7.633
angles: 62.27 62.27 59.99
Atoms (fractional coordinates):
Ag (0.500, 0.500, 0.500)
Br (0.092, 0.390, 0.755)
Br (0.610, 0.237, 0.245)
Br (0.237, 0.908, 0.244)
Br (0.763, 0.092, 0.756)
Br (0.390, 0.763, 0.755)
Pa (0.000, 0.000, 0.000)
Br (0.908, 0.610, 0.245)

***

No. 2
DyTi2Ga4 | GGA-PBE | optimized geometry

energy of formation from the pure elements	-0.536	eV per atom
symmetry	I4/mmm (139)
electronic total energy	-36.2	eV for the cell shown
M_tot	0.000	μB per atom

abc: 5.507 5.507 5.507
angles: 104.15 104.15 120.74
Atoms (fractional coordinates):
Ga (0.697, 0.303, 0.000)
Ti (0.750, 0.250, 0.500)
Dy (0.000, 0.000, 0.000)
Ga (0.303, 0.303, 0.605)
Ga (0.697, 0.697, 0.395)
Ga (0.303, 0.697, 0.000)
Ti (0.250, 0.750, 0.500)

***

No. 3
Nd8ErSn6 | GGA-PBE | optimized geometry

energy of formation from the pure elements	-0.562	eV per atom
symmetry	R-3 (148)
electronic total energy	-75.2	eV for the cell shown
M_tot	0.000	μB per atom

abc: 9.327 9.327 8.527
angles: 56.84 56.84 60.00
Atoms (fractional coordinates):
Sn (0.932, 0.260, 0.201)
Sn (0.260, 0.606, 0.201)
Sn (0.068, 0.740, 0.799)
Nd (0.666, 0.666, 0.002)
Nd (0.233, 0.898, 0.311)
Nd (0.898, 0.559, 0.311)
Sn (0.606, 0.932, 0.201)
Nd (0.441, 0.767, 0.689)
Nd (0.334, 0.334, 0.998)
Sn (0.394, 0.068, 0.799)
Nd (0.767, 0.102, 0.689)
Er (0.000, 0.000, 0.000)
Nd (0.102, 0.441, 0.689)
Nd (0.559, 0.233, 0.311)
Sn (0.740, 0.394, 0.799)

***

No. 4
K2Cd15Pb2 | GGA-PBE | optimized geometry

energy of formation from the pure elements	-0.054	eV per atom
symmetry	R-3m (166)
electronic total energy	-24.4	eV for the cell shown
M_tot	0.000	μB per atom

abc: 7.951 7.951 7.951
angles: 85.37 85.37 85.37
Atoms (fractional coordinates):
Cd (0.695, 0.000, 0.305)
Cd (0.643, 0.643, 0.165)
Cd (0.000, 0.695, 0.305)
Cd (0.695, 0.305, 0.000)
Cd (0.500, 0.000, 0.000)
Cd (0.000, 0.305, 0.695)
Cd (0.000, 0.500, 0.000)
Cd (0.357, 0.357, 0.835)
Pb (0.894, 0.894, 0.894)
Cd (0.165, 0.643, 0.643)
Cd (0.357, 0.835, 0.357)
K (0.344, 0.344, 0.344)
K (0.656, 0.656, 0.656)
Cd (0.835, 0.357, 0.357)
Pb (0.106, 0.106, 0.106)
Cd (0.000, 0.000, 0.500)
Cd (0.643, 0.165, 0.643)
Cd (0.305, 0.000, 0.695)
Cd (0.305, 0.695, 0.000)

***

No. 5
Tb4MgAl2Zn | GGA-PBE | optimized geometry

energy of formation from the pure elements	-0.335	eV per atom
symmetry	R-3m (166)
electronic total energy	-31.6	eV for the cell shown
M_tot	0.000	μB per atom

abc: 5.160 5.160 8.941
angles: 73.23 73.23 60.00
Atoms (fractional coordinates):
Tb (0.871, 0.871, 0.388)
Tb (0.380, 0.380, 0.861)
Tb (0.129, 0.129, 0.612)
Mg (0.000, 0.000, 0.000)
Al (0.746, 0.746, 0.763)
Tb (0.620, 0.620, 0.139)
Al (0.254, 0.254, 0.237)
Zn (0.500, 0.500, 0.500)

***

No. 6
SrNd3 | GGA-PBE | optimized geometry

energy of formation from the pure elements	0.146	eV per atom
symmetry	P6_3/mmc (194)
electronic total energy	-30.8	eV for the cell shown
M_tot	0.003	μB per atom

abc: 7.674 7.674 6.068
angles: 90.00 90.00 120.00
Atoms (fractional coordinates):
Nd (0.160, 0.840, 0.250)
Nd (0.320, 0.160, 0.750)
Nd (0.160, 0.320, 0.250)
Nd (0.840, 0.680, 0.750)
Sr (0.667, 0.333, 0.250)
Nd (0.680, 0.840, 0.250)
Sr (0.333, 0.667, 0.750)
Nd (0.840, 0.160, 0.750)

***

No. 7
SrIn2Si | GGA-PBE | optimized geometry

symmetry	P4/mmm (123)
electronic total energy	-13.0	eV for the cell shown
M_tot	0.000	μB per atom
formation energy (no corrections)	-0.11	eV/atom

abc: 4.585 4.585 4.903
angles: 90.00 90.00 90.00
Atoms (fractional coordinates):
Si (0.500, 0.000, 0.500)
In (0.000, 0.000, 0.000)
In (0.500, 0.500, 0.000)
Sr (0.000, 0.500, 0.500)

***

No. 8
RuRhAuS2 | GGA-PBE | optimized geometry

symmetry	P4/mmm (123)
electronic total energy	-23.1	eV for the cell shown
M_tot	0.560	μB per atom
formation energy (no corrections)	1.01	eV/atom

abc: 4.475 4.475 5.125
angles: 90.00 90.00 90.00
Each line ends with the local moment (μB).
Atoms (fractional coordinates):
S (0.500, 0.000, 0.000)  0.00
Rh (0.000, 0.000, 0.000)  -0.06
S (0.000, 0.500, 0.000)  0.00
Au (0.000, 0.000, 0.500)  0.04
Ru (0.500, 0.500, 0.500)  2.61

***

No. 9
In2TcRh | GGA-PBE | optimized geometry

energy of formation from the pure elements	0.136	eV per atom
ΔE to the lowest computed polymorph	58	kJ/mol of formula units
symmetry	R-3m (166)
electronic total energy	-22.7	eV for the cell shown
M_tot	0.085	μB per atom

abc: 8.944 8.944 8.944
angles: 19.64 19.64 19.64
Each line ends with the local moment (μB).
Atoms (fractional coordinates):
In (0.998, 0.998, 0.998)  0.00
In (0.502, 0.502, 0.502)  0.00
Tc (0.750, 0.750, 0.750)  0.28
Rh (0.250, 0.250, 0.250)  0.04

***

No. 10
ScCdAs | GGA-PBE | optimized geometry

energy of formation from the pure elements	-0.431	eV per atom
ΔE to the lowest computed polymorph	19	kJ/mol of formula units
symmetry	I4mm (107)
electronic total energy	-13.2	eV for the cell shown
M_tot	0.000	μB per atom

abc: 5.758 5.758 5.758
angles: 142.75 142.75 53.70
Atoms (fractional coordinates):
As (0.047, 0.047, 0.000)
Sc (0.623, 0.623, 0.000)
Cd (0.330, 0.330, 0.000)

***

No. 11
VGe3I | GGA-PBE | optimized geometry

ΔE to the lowest computed polymorph	0	kJ/mol of formula units
symmetry	Pm-3m (221)
electronic total energy	-23.0	eV for the cell shown
M_tot	0.373	μB per atom
formation energy (no corrections)	0.30	eV/atom

abc: 4.937 4.937 4.937
angles: 90.00 90.00 90.00
Each line ends with the local moment (μB).
Atoms (fractional coordinates):
Ge (0.500, 0.000, 0.000)  0.02
Ge (0.000, 0.500, 0.000)  0.02
Ge (0.000, 0.000, 0.500)  0.02
I (0.500, 0.500, 0.500)  0.20
V (0.000, 0.000, 0.000)  1.23

***

Calculated density? In order: 4.83 7.15 6.78 7.27 6.66 5.58 5.56 7.53 10.12 5.55 5.46 Mg/m³.